# Li8CaMg2 PBE optimized geometry
# **Energy above the lowest structure with this stoichiometry**: 0.030 eV/atom
# **Density of states at the Fermi level**: 0.401 states/eV per atom
data_Li8CaMg2
_space_group_name_H-M_alt 'C 1 2/m 1'
_space_group_IT_number 12
_space_group_name_Hall '-C 2y'
_cell_length_a 8.563
_cell_length_b 14.873
_cell_length_c 4.705
_cell_angle_alpha 90.00
_cell_angle_beta 121.51
_cell_angle_gamma 90.00
loop_
_atom_site_label
_atom_site_type_symbol
_atom_site_fract_x
_atom_site_fract_y
_atom_site_fract_z
Li1 Li 0.000 0.195 0.000
Li2 Li 0.189 0.000 0.212
Li3 Li 0.217 0.166 0.718
Ca1 Ca 0.000 0.500 0.000
Mg1 Mg 0.000 0.339 0.500


# LiCa2Mg2 PBE optimized geometry
# **Energy above the lowest structure with this stoichiometry**: 0.150 eV/atom
# **Density of states at the Fermi level**: 0.716 states/eV per atom
data_LiCa2Mg2
_space_group_name_H-M_alt 'I 4/m m m'
_space_group_IT_number 139
_space_group_name_Hall '-I 4 2'
_cell_length_a 4.153
_cell_length_b 4.153
_cell_length_c 19.032
_cell_angle_alpha 90.00
_cell_angle_beta 90.00
_cell_angle_gamma 90.00
loop_
_atom_site_label
_atom_site_type_symbol
_atom_site_fract_x
_atom_site_fract_y
_atom_site_fract_z
Li1 Li 0.000 0.000 0.000
Ca1 Ca 0.000 0.000 0.400
Mg1 Mg 0.000 0.500 0.250


# Li3Ca3Mg PBE optimized geometry
# **Density of states at the Fermi level**: 0.669 states/eV per atom
data_Li3Ca3Mg
_space_group_name_H-M_alt 'C m m m'
_space_group_IT_number 65
_space_group_name_Hall '-C 2 2'
_cell_length_a 9.811
_cell_length_b 11.423
_cell_length_c 7.500
_cell_angle_alpha 90.00
_cell_angle_beta 90.00
_cell_angle_gamma 90.00
loop_
_atom_site_label
_atom_site_type_symbol
_atom_site_fract_x
_atom_site_fract_y
_atom_site_fract_z
Li1 Li 0.000 0.000 0.210
Li2 Li 0.250 0.250 0.219
Ca1 Ca 0.000 0.220 0.500
Ca2 Ca 0.191 0.500 0.000
Ca3 Ca 0.208 0.500 0.500
Mg1 Mg 0.000 0.226 0.000


Energy of formation readings, ordered: 40 136 46 meV/atom
Spin magnetization readings, ordered: 0.0 0.0 0.0 μB per cell